Entry 1:
Here is a PBEsol-optimized structure of Rb2NbCuS4 from Alexandria. Energies are from SCAN.

Output
Space-group type   Fddd (70)

Geometry as extended XYZ:
```
16
Lattice="0.000 6.690 11.804 2.762 0.000 11.804 2.762 6.690 0.000" Properties=species:S:1:pos:R:3 pbc="T T T"
Rb 2.071 5.017 1.254
Rb 3.452 8.362 7.156
Rb 2.071 5.017 16.453
Rb 3.452 8.362 22.355
Nb 0.690 1.672 2.951
Nb 4.833 11.707 20.657
Cu 2.071 5.017 8.853
Cu 3.452 8.362 14.755
S 2.058 2.983 4.241
S 3.465 6.328 10.143
S 2.084 7.052 4.241
S 2.084 2.983 13.465
S 3.439 10.397 10.143
S 3.439 6.328 19.368
S 2.058 7.052 13.465
S 3.465 10.397 19.368
```



Entry 2:
Here is a PBEsol-optimized structure of YWBr4 from Alexandria. Energies are from SCAN.

Output
Space-group type   F-43m (216)

Geometry as extended XYZ:
```
6
Lattice="0.000 4.265 4.265 4.265 0.000 4.265 4.265 4.265 0.000" Properties=species:S:1:pos:R:3 pbc="T T T"
Y 0.000 0.000 0.000
W 6.397 6.397 6.397
Br 3.198 3.198 3.198
Br 5.332 5.332 3.198
Br 5.332 3.198 5.332
Br 3.198 5.332 5.332
```



Entry 3:
Here is a PBEsol-optimized structure of RbMgN2O from Alexandria. Energies are from SCAN.

Output
Space-group type   P4/mmm (123)

Geometry as extended XYZ:
```
5
Lattice="4.415 0.000 0.000 0.000 4.415 0.000 0.000 0.000 4.359" Properties=species:S:1:pos:R:3 pbc="T T T"
Rb 0.000 0.000 0.000
Mg 2.207 2.207 2.180
N 0.000 2.207 0.000
N 2.207 0.000 0.000
O 0.000 0.000 2.180
```



Entry 4:
Here is a PBEsol-optimized structure of Li4Fe3Cu3Te2O16 from Alexandria. Energies are from SCAN.

Output
Space-group type   Cm (8)

Geometry as extended XYZ:
```
28
Lattice="5.144 -2.858 0.000 5.144 2.858 0.000 -0.710 0.000 9.619" Properties=species:S:1:pos:R:3 pbc="T T T"
Li 0.000 0.000 0.000
Li -0.341 0.000 4.786
Li 2.659 0.000 8.948
Li 6.338 0.000 4.074
Fe 1.553 0.000 2.255
Fe 5.409 1.359 7.004
Fe 5.409 -1.359 7.004
Cu 4.074 1.405 2.159
Cu 4.074 -1.405 2.159
Cu 7.960 0.000 7.010
Te 2.962 0.000 4.808
Te 6.818 0.000 0.027
O -0.534 0.000 7.766
O -0.126 0.000 2.944
O 2.120 1.260 3.527
O 3.857 1.439 5.816
O 1.318 0.000 5.908
O 3.091 0.000 1.350
O 5.997 1.441 1.029
O 2.120 -1.260 3.527
O 4.509 0.000 3.519
O 6.825 1.310 8.310
O 4.561 0.000 8.426
O 6.229 0.000 6.067
O 3.857 -1.439 5.816
O 8.548 0.000 0.950
O 5.997 -1.441 1.029
O 6.825 -1.310 8.310
```



What did we get for DFT total energy? Answer: -17.27 -28.27 -8.01 -11.58 eV/atom, in the order shown.
What did we get for E_form (uncorrected)? Answer: -949 552 1012 -3901 kJ/mol of formula units, in the order shown.
What did we get for N(E_F)? Answer: 0.0 4.6 2.6 2.9 states/eV/f.u., in the order shown.